# 1
First-principles (GGA-PBEsol) data for Ba2LiGe3 after structural relaxation, as listed in Alexandria via LeMat-Bulk.

Computed properties:
Energy of formation = -588 meV per atom
Crystal system = orthorhombic

Structure (CIF):
```
data_Ba2LiGe3
_chemical_formula_sum 'Ba8 Li4 Ge12'
_cell_length_a 12.3185
_cell_length_b 10.5980
_cell_length_c 8.8573
_cell_angle_alpha 78.00
_cell_angle_beta 57.30
_cell_angle_gamma 44.69
_space_group_name_H-M_alt 'P 1'
_space_group_IT_number 1
loop_
_space_group_symop_operation_xyz
'x,y,z'
loop_
_atom_site_label
_atom_site_fract_x
_atom_site_fract_y
_atom_site_fract_z
Ba1 0.0009 0.0009 0.2491
Ba2 0.2491 0.2491 0.0009
Ba3 0.2517 0.2517 0.4983
Ba4 0.4983 0.4983 0.2517
Ba5 0.5017 0.5017 0.7483
Ba6 0.7483 0.7483 0.5017
Ba7 0.7509 0.7509 0.9991
Ba8 0.9991 0.9991 0.7509
Li1 0.0427 0.7073 0.0427
Li2 0.2927 0.9573 0.2927
Li3 0.7073 0.0427 0.7073
Li4 0.9573 0.2927 0.9573
Ge1 0.0529 0.7051 0.5341
Ge2 0.2079 0.5341 0.7051
Ge3 0.2117 0.5383 0.2117
Ge4 0.2949 0.9471 0.7921
Ge5 0.4617 0.7883 0.4617
Ge6 0.4659 0.7921 0.9471
Ge7 0.5341 0.2079 0.0529
Ge8 0.5383 0.2117 0.5383
Ge9 0.7051 0.0529 0.2079
Ge10 0.7883 0.4617 0.7883
Ge11 0.7921 0.4659 0.2949
Ge12 0.9471 0.2949 0.4659
```


# 2
First-principles (GGA-PBEsol) data for AuSeS2 after structural relaxation, as listed in Alexandria via LeMat-Bulk.

Computed properties:
Formation energy from raw total energies = 0.188 eV per atom
Crystal system = trigonal

Structure (CIF):
```
data_AuSeS2
_chemical_formula_sum 'Au1 Se1 S2'
_cell_length_a 7.5823
_cell_length_b 7.5823
_cell_length_c 7.5823
_cell_angle_alpha 28.37
_cell_angle_beta 28.37
_cell_angle_gamma 28.37
_space_group_name_H-M_alt 'P 1'
_space_group_IT_number 1
loop_
_space_group_symop_operation_xyz
'x,y,z'
loop_
_atom_site_label
_atom_site_fract_x
_atom_site_fract_y
_atom_site_fract_z
Au1 0.0000 0.0000 0.0000
Se1 0.5000 0.5000 0.5000
S1 0.3931 0.3931 0.3931
S2 0.6069 0.6069 0.6069
```


# 3
First-principles (GGA-PBEsol) data for CdCu2Pt after structural relaxation, as listed in Alexandria via LeMat-Bulk.

Computed properties:
Energy of formation = 15 meV per atom
Crystal system = trigonal

Structure (CIF):
```
data_CdCu2Pt
_chemical_formula_sum 'Cd1 Cu2 Pt1'
_cell_length_a 8.7845
_cell_length_b 8.7845
_cell_length_c 8.7845
_cell_angle_alpha 18.14
_cell_angle_beta 18.14
_cell_angle_gamma 18.14
_space_group_name_H-M_alt 'P 1'
_space_group_IT_number 1
loop_
_space_group_symop_operation_xyz
'x,y,z'
loop_
_atom_site_label
_atom_site_fract_x
_atom_site_fract_y
_atom_site_fract_z
Cd1 0.0000 0.0000 0.0000
Cu1 0.2470 0.2470 0.2470
Cu2 0.7530 0.7530 0.7530
Pt1 0.5000 0.5000 0.5000
```


# 4
First-principles (GGA-PBEsol) data for TcAsCSe2 after structural relaxation, as listed in Alexandria via LeMat-Bulk.

Computed properties:
Formation energy from raw total energies = 1.211 eV per atom
Crystal system = tetragonal

Structure (CIF):
```
data_TcAsCSe2
_chemical_formula_sum 'Tc1 As1 C1 Se2'
_cell_length_a 4.2332
_cell_length_b 4.2332
_cell_length_c 4.1196
_cell_angle_alpha 90.00
_cell_angle_beta 90.00
_cell_angle_gamma 90.00
_space_group_name_H-M_alt 'P 1'
_space_group_IT_number 1
loop_
_space_group_symop_operation_xyz
'x,y,z'
loop_
_atom_site_label
_atom_site_fract_x
_atom_site_fract_y
_atom_site_fract_z
Tc1 0.0000 0.0000 0.0000
As1 0.5000 0.5000 0.0000
C1 0.5000 0.5000 0.5000
Se1 0.0000 0.5000 0.5000
Se2 0.5000 0.0000 0.5000
```


# 5
First-principles (GGA-PBEsol) data for NbSiRu2 after structural relaxation, as listed in Alexandria via LeMat-Bulk.

Computed properties:
Formation energy from raw total energies = -0.425 eV per atom
Crystal system = cubic

Structure (CIF):
```
data_NbSiRu2
_chemical_formula_sum 'Nb1 Si1 Ru2'
_cell_length_a 4.2957
_cell_length_b 4.2957
_cell_length_c 4.2957
_cell_angle_alpha 60.00
_cell_angle_beta 60.00
_cell_angle_gamma 60.00
_space_group_name_H-M_alt 'P 1'
_space_group_IT_number 1
loop_
_space_group_symop_operation_xyz
'x,y,z'
loop_
_atom_site_label
_atom_site_fract_x
_atom_site_fract_y
_atom_site_fract_z
Nb1 0.0000 0.0000 0.0000
Si1 0.5000 0.5000 0.5000
Ru1 0.2500 0.2500 0.2500
Ru2 0.7500 0.7500 0.7500
```


# 6
First-principles (GGA-PBEsol) data for CsRbSb2Te after structural relaxation, as listed in Alexandria via LeMat-Bulk.

Computed properties:
Formation energy from raw total energies = 0.591 eV per atom
Crystal system = tetragonal

Structure (CIF):
```
data_CsRbSb2Te
_chemical_formula_sum 'Cs1 Rb1 Sb2 Te1'
_cell_length_a 6.0828
_cell_length_b 6.0828
_cell_length_c 6.2792
_cell_angle_alpha 90.00
_cell_angle_beta 90.00
_cell_angle_gamma 90.00
_space_group_name_H-M_alt 'P 1'
_space_group_IT_number 1
loop_
_space_group_symop_operation_xyz
'x,y,z'
loop_
_atom_site_label
_atom_site_fract_x
_atom_site_fract_y
_atom_site_fract_z
Cs1 0.0000 0.0000 0.0000
Rb1 0.5000 0.5000 0.5000
Sb1 0.0000 0.5000 0.5000
Sb2 0.5000 0.0000 0.5000
Te1 0.5000 0.5000 0.0000
```


# 7
First-principles (GGA-PBEsol) data for MgScOs2I after structural relaxation, as listed in Alexandria via LeMat-Bulk.

Computed properties:
Formation energy from raw total energies = 1.787 eV per atom
Crystal system = tetragonal

Structure (CIF):
```
data_MgScOs2I
_chemical_formula_sum 'Mg1 Sc1 Os2 I1'
_cell_length_a 4.6368
_cell_length_b 4.6368
_cell_length_c 5.0394
_cell_angle_alpha 90.00
_cell_angle_beta 90.00
_cell_angle_gamma 90.00
_space_group_name_H-M_alt 'P 1'
_space_group_IT_number 1
loop_
_space_group_symop_operation_xyz
'x,y,z'
loop_
_atom_site_label
_atom_site_fract_x
_atom_site_fract_y
_atom_site_fract_z
Mg1 0.0000 0.0000 0.0000
Sc1 0.5000 0.5000 0.5000
Os1 0.0000 0.5000 0.0000
Os2 0.5000 0.0000 0.0000
I1 0.0000 0.0000 0.5000
```


# 8
First-principles (GGA-PBEsol) data for TiGaS3 after structural relaxation, as listed in Alexandria via LeMat-Bulk.

Computed properties:
Formation energy from raw total energies = 0.099 eV per atom
Crystal system = cubic

Structure (CIF):
```
data_TiGaS3
_chemical_formula_sum 'Ti1 Ga1 S3'
_cell_length_a 4.5737
_cell_length_b 4.5737
_cell_length_c 4.5737
_cell_angle_alpha 90.00
_cell_angle_beta 90.00
_cell_angle_gamma 90.00
_space_group_name_H-M_alt 'P 1'
_space_group_IT_number 1
loop_
_space_group_symop_operation_xyz
'x,y,z'
loop_
_atom_site_label
_atom_site_fract_x
_atom_site_fract_y
_atom_site_fract_z
Ti1 0.0000 0.0000 0.0000
Ga1 0.5000 0.5000 0.5000
S1 0.0000 0.5000 0.5000
S2 0.5000 0.0000 0.5000
S3 0.5000 0.5000 0.0000
```


# 9
First-principles (GGA-PBEsol) data for AlTlPt after structural relaxation, as listed in Alexandria via LeMat-Bulk.

Computed properties:
Energy of formation = -272 meV per atom
Crystal system = tetragonal

Structure (CIF):
```
data_AlTlPt
_chemical_formula_sum 'Al1 Tl1 Pt1'
_cell_length_a 6.2271
_cell_length_b 6.2271
_cell_length_c 6.2271
_cell_angle_alpha 150.70
_cell_angle_beta 150.70
_cell_angle_gamma 41.92
_space_group_name_H-M_alt 'P 1'
_space_group_IT_number 1
loop_
_space_group_symop_operation_xyz
'x,y,z'
loop_
_atom_site_label
_atom_site_fract_x
_atom_site_fract_y
_atom_site_fract_z
Al1 0.0000 0.0000 0.0000
Tl1 0.2912 0.2912 0.0000
Pt1 0.5995 0.5995 0.0000
```


# 10
First-principles (GGA-PBEsol) data for LiC2NO6 after structural relaxation, as listed in Alexandria via LeMat-Bulk.

Computed properties:
Formation energy from raw total energies = -0.589 eV per atom
Crystal system = trigonal

Structure (CIF):
```
data_LiC2NO6
_chemical_formula_sum 'Li1 C2 N1 O6'
_cell_length_a 5.5145
_cell_length_b 5.5145
_cell_length_c 5.5145
_cell_angle_alpha 47.64
_cell_angle_beta 47.64
_cell_angle_gamma 47.64
_space_group_name_H-M_alt 'P 1'
_space_group_IT_number 1
loop_
_space_group_symop_operation_xyz
'x,y,z'
loop_
_atom_site_label
_atom_site_fract_x
_atom_site_fract_y
_atom_site_fract_z
Li1 0.0000 0.0000 0.0000
C1 0.2405 0.2405 0.2405
C2 0.7595 0.7595 0.7595
N1 0.5000 0.5000 0.5000
O1 0.0510 0.7460 0.4719
O2 0.2540 0.5280 0.9490
O3 0.4720 0.0510 0.7460
O4 0.5281 0.9490 0.2540
O5 0.7460 0.4719 0.0510
O6 0.9490 0.2540 0.5281
```


# 11
First-principles (GGA-PBEsol) data for Y2AgAu after structural relaxation, as listed in Alexandria via LeMat-Bulk.

Computed properties:
Energy of formation = -613 meV per atom
Crystal system = monoclinic

Structure (CIF):
```
data_Y2AgAu
_chemical_formula_sum 'Y2 Ag1 Au1'
_cell_length_a 3.6775
_cell_length_b 4.6659
_cell_length_c 5.6048
_cell_angle_alpha 90.00
_cell_angle_beta 105.33
_cell_angle_gamma 90.00
_space_group_name_H-M_alt 'P 1'
_space_group_IT_number 1
loop_
_space_group_symop_operation_xyz
'x,y,z'
loop_
_atom_site_label
_atom_site_fract_x
_atom_site_fract_y
_atom_site_fract_z
Y1 0.0000 0.0000 0.0000
Y2 0.2449 0.5000 0.5573
Ag1 0.5510 0.5000 0.1118
Au1 0.6975 0.0000 0.4460
```


# 12
First-principles (GGA-PBEsol) data for SnPbIN2 after structural relaxation, as listed in Alexandria via LeMat-Bulk.

Computed properties:
Formation energy from raw total energies = 1.460 eV per atom
Crystal system = tetragonal

Structure (CIF):
```
data_SnPbIN2
_chemical_formula_sum 'Sn1 Pb1 I1 N2'
_cell_length_a 4.4201
_cell_length_b 4.4201
_cell_length_c 6.0796
_cell_angle_alpha 90.00
_cell_angle_beta 90.00
_cell_angle_gamma 90.00
_space_group_name_H-M_alt 'P 1'
_space_group_IT_number 1
loop_
_space_group_symop_operation_xyz
'x,y,z'
loop_
_atom_site_label
_atom_site_fract_x
_atom_site_fract_y
_atom_site_fract_z
Sn1 0.0000 0.0000 0.0000
Pb1 0.5000 0.5000 0.5000
I1 0.5000 0.5000 0.0000
N1 0.0000 0.5000 0.5000
N2 0.5000 0.0000 0.5000
```


In the order shown, the computed density values come out to 5078; 6493; 12581; 7712; 9573; 4213; 8837; 3710; 12272; 2793; 8641; 6722 kg/m3.